Entry 1:
DFT (GGA-PBE) results for crystalline ScAs7 at its relaxed geometry.

abc: 6.012 6.012 6.012
angles: 60.00 60.00 60.00
Fractional positions:
1 As 0.500 0.000 0.500
2 As 0.500 0.500 0.500
3 As 0.000 0.500 0.500
4 As 0.500 0.000 0.000
5 As 0.000 0.000 0.500
6 As 0.500 0.500 0.000
7 As 0.000 0.500 0.000
8 Sc 0.000 0.000 0.000

Calculated values
Energy relative to the elements   99 meV per atom

=====

Entry 2:
DFT (GGA-PBE) results for crystalline K4CeTh3Te8 at its relaxed geometry.

abc: 9.027 9.923 9.026
angles: 117.06 120.00 90.00
Site moments in Bohr magnetons follow the coordinates.
Fractional positions:
1 K 0.000 0.000 0.000  0.00
2 K 0.500 0.000 0.000  0.00
3 K 0.000 0.000 0.500  0.00
4 K 0.500 0.000 0.500  0.00
5 Th 0.500 0.500 0.000  0.07
6 Th 0.000 0.500 0.500  0.07
7 Th 0.500 0.500 0.500  0.07
8 Te 0.759 0.281 0.517  -0.01
9 Te 0.241 0.719 0.978  -0.01
10 Te 0.740 0.719 0.480  0.00
11 Te 0.260 0.281 0.520  0.00
12 Te 0.759 0.281 0.022  -0.01
13 Te 0.736 0.719 0.978  -0.01
14 Te 0.264 0.281 0.022  -0.01
15 Te 0.241 0.719 0.483  -0.01
16 Ce 0.000 0.500 0.000  1.06

Calculated values
Formation energy (no corrections)   -1216 meV/atom